12
Lattice="5.336 -0.002 -1.494 -3.990 7.763 -4.000 -0.203 -1.103 9.535" Properties=species:S:1:pos:R:3 comment="PBE-GGA Sr6GaAg5, optimized geometry" sg="C2/m, No. 12" e_tot_ry_per_atom=-0.1884 dos_at_fermi_per_ev_fu=8.77 pbc="T T T"
Sr 0.908 0.186 3.234
Sr 1.484 3.546 5.273
Sr 2.950 1.634 0.245
Sr -1.807 5.024 3.796
Sr -0.341 3.112 -1.232
Sr 0.235 6.471 0.807
Ag 1.833 0.375 6.530
Ag -1.463 1.847 5.031
Ag 0.571 3.329 2.020
Ag 2.606 4.810 -0.990
Ag -0.690 6.283 -2.489
Ga 0.000 0.000 0.000